! RuPt2Br (GGA-PBEsol, optimized geometry); values from VASP
&SYSTEM
  ibrav = 0, nat = 4, ntyp = 3
/
ATOMIC_SPECIES
Ru 101.07 Ru.upf
Pt 195.08 Pt.upf
Br 79.90 Br.upf
CELL_PARAMETERS angstrom
2.7756 0.0000 0.0000
0.0000 2.7756 0.0000
0.0000 0.0000 8.6885
ATOMIC_POSITIONS crystal
Ru 0.0000 0.0000 0.0000
Pt 0.5000 0.5000 0.2073
Pt 0.5000 0.5000 0.7927
Br 0.0000 0.0000 0.5000
! - relative energy among the computed polymorphs (eV per atom) = 0.000
! - theoretical density (g/cm³) = 14.17
! - crystal system = tetragonal
! - D(E_F) (states/eV per cell) = 5.48
! - uncorrected formation energy (eV/atom) = 0.480